Entry 1:
# Tl2Zn2Co (PBE, optimized geometry)
data_Tl2Zn2Co
_chemical_formula_sum 'Tl4 Zn4 Co2'
_cell_length_a 3.4451
_cell_length_b 3.4451
_cell_length_c 17.3686
_cell_angle_alpha 90.00
_cell_angle_beta 90.00
_cell_angle_gamma 90.00
_space_group_name_H-M_alt 'I 4/m m m'
_space_group_IT_number 139
_space_group_name_Hall '-I 4 2'
loop_
_atom_site_label
_atom_site_type_symbol
_atom_site_fract_x
_atom_site_fract_y
_atom_site_fract_z
_atom_site_occupancy
Tl1 Tl 0.0000 0.0000 0.0914 1
Zn1 Zn 0.0000 0.5000 0.2500 1
Co1 Co 0.0000 0.0000 0.5000 1
# Energy of formation   2.30 eV per formula unit
# Energy above the lowest structure with this stoichiometry   0.0353 eV per atom



Entry 2:
# SmCdSn2 (PBE, optimized geometry)
data_SmCdSn2
_chemical_formula_sum 'Sm1 Cd1 Sn2'
_cell_length_a 4.7795
_cell_length_b 4.7795
_cell_length_c 4.4898
_cell_angle_alpha 90.00
_cell_angle_beta 90.00
_cell_angle_gamma 90.00
_space_group_name_H-M_alt 'P 4/m m m'
_space_group_IT_number 123
_space_group_name_Hall '-P 4 2'
loop_
_atom_site_label
_atom_site_type_symbol
_atom_site_fract_x
_atom_site_fract_y
_atom_site_fract_z
_atom_site_occupancy
Sm1 Sm 0.0000 0.0000 0.0000 1
Cd1 Cd 0.5000 0.5000 0.0000 1
Sn1 Sn 0.0000 0.5000 0.5000 1
# Energy of formation   -1.96 eV per formula unit
# Energy above the lowest structure with this stoichiometry   0.0000 eV per atom



Entry 3:
# CuReTe3 (PBE, optimized geometry)
data_CuReTe3
_chemical_formula_sum 'Cu1 Re1 Te3'
_cell_length_a 5.2295
_cell_length_b 5.2295
_cell_length_c 5.2295
_cell_angle_alpha 90.00
_cell_angle_beta 90.00
_cell_angle_gamma 90.00
_space_group_name_H-M_alt 'P m -3 m'
_space_group_IT_number 221
_space_group_name_Hall '-P 4 2 3'
loop_
_atom_site_label
_atom_site_type_symbol
_atom_site_fract_x
_atom_site_fract_y
_atom_site_fract_z
_atom_site_occupancy
Cu1 Cu 0.0000 0.0000 0.0000 1
Re1 Re 0.5000 0.5000 0.5000 1
Te1 Te 0.0000 0.5000 0.5000 1
# Raw formation energy   995 meV per atom
# Energy above the lowest structure with this stoichiometry   0.0000 eV per atom



Entry 4:
# KLaBe2Zn (PBE, optimized geometry)
data_KLaBe2Zn
_chemical_formula_sum 'K1 La1 Be2 Zn1'
_cell_length_a 4.5950
_cell_length_b 4.5950
_cell_length_c 5.5852
_cell_angle_alpha 90.00
_cell_angle_beta 90.00
_cell_angle_gamma 90.00
_space_group_name_H-M_alt 'P 4/m m m'
_space_group_IT_number 123
_space_group_name_Hall '-P 4 2'
loop_
_atom_site_label
_atom_site_type_symbol
_atom_site_fract_x
_atom_site_fract_y
_atom_site_fract_z
_atom_site_occupancy
K1 K 0.0000 0.0000 0.0000 1
La1 La 0.5000 0.5000 0.0000 1
Be1 Be 0.0000 0.5000 0.5000 1
Zn1 Zn 0.5000 0.5000 0.5000 1
# Energy of formation   3.64 eV per formula unit



Entry 5:
# NaHoS (PBE, optimized geometry)
data_NaHoS
_chemical_formula_sum 'Na2 Ho2 S2'
_cell_length_a 3.7045
_cell_length_b 3.7045
_cell_length_c 13.7796
_cell_angle_alpha 90.00
_cell_angle_beta 90.00
_cell_angle_gamma 120.00
_space_group_name_H-M_alt 'P -6 m 2'
_space_group_IT_number 187
_space_group_name_Hall 'P -6 2'
loop_
_atom_site_label
_atom_site_type_symbol
_atom_site_fract_x
_atom_site_fract_y
_atom_site_fract_z
_atom_site_occupancy
Na1 Na 0.0000 0.0000 0.1172 1
Ho1 Ho 0.3333 0.6667 0.3690 1
S1 S 0.0000 0.0000 0.5000 1
S2 S 0.3333 0.6667 0.0000 1
# Raw formation energy   -688 meV per atom



Entry 6:
# AgSb4Pb5 (PBE, optimized geometry)
data_AgSb4Pb5
_chemical_formula_sum 'Ag2 Sb8 Pb10'
_cell_length_a 18.6236
_cell_length_b 4.3376
_cell_length_c 8.3499
_cell_angle_alpha 90.00
_cell_angle_beta 113.74
_cell_angle_gamma 90.00
_space_group_name_H-M_alt 'C 1 2/m 1'
_space_group_IT_number 12
loop_
_space_group_symop_operation_xyz
'x,y,z'
'-x,-y,-z'
'-x,y,-z'
'x,-y,z'
'x+1/2,y+1/2,z'
'-x+1/2,-y+1/2,-z'
'-x+1/2,y+1/2,-z'
'x+1/2,-y+1/2,z'
loop_
_atom_site_label
_atom_site_type_symbol
_atom_site_fract_x
_atom_site_fract_y
_atom_site_fract_z
_atom_site_occupancy
Ag1 Ag 0.0000 0.0000 0.0000 1
Sb1 Sb 0.0282 0.5000 0.2462 1
Sb2 Sb 0.1583 0.0000 0.0306 1
Pb1 Pb 0.0000 0.0000 0.5000 1
Pb2 Pb 0.1524 0.5000 0.7390 1
Pb3 Pb 0.2057 0.5000 0.3274 1
# Raw formation energy   104 meV per atom



Entry 7:
# Pm3Sm3In (PBE, optimized geometry)
data_Pm3Sm3In
_chemical_formula_sum 'Pm6 Sm6 In2'
_cell_length_a 9.5366
_cell_length_b 9.5366
_cell_length_c 5.7042
_cell_angle_alpha 90.00
_cell_angle_beta 90.00
_cell_angle_gamma 120.00
_space_group_name_H-M_alt 'P 63/m'
_space_group_IT_number 176
_space_group_name_Hall '-P 6c'
loop_
_atom_site_label
_atom_site_type_symbol
_atom_site_fract_x
_atom_site_fract_y
_atom_site_fract_z
_atom_site_occupancy
Pm1 Pm 0.1067 0.6264 0.2500 1
Sm1 Sm 0.0642 0.8194 0.7500 1
In1 In 0.3333 0.6667 0.7500 1
# Energy of formation   -0.72 eV per formula unit
# Energy above the lowest structure with this stoichiometry   0.0000 eV per atom



Entry 8:
# Co2HgRh (PBE, optimized geometry)
data_Co2HgRh
_chemical_formula_sum 'Co4 Hg2 Rh2'
_cell_length_a 3.8469
_cell_length_b 3.8469
_cell_length_c 7.7595
_cell_angle_alpha 90.00
_cell_angle_beta 90.00
_cell_angle_gamma 90.00
_space_group_name_H-M_alt 'I -4 m 2'
_space_group_IT_number 119
_space_group_name_Hall 'I -4 -2'
loop_
_atom_site_label
_atom_site_type_symbol
_atom_site_fract_x
_atom_site_fract_y
_atom_site_fract_z
_atom_site_occupancy
Co1 Co 0.0000 0.0000 0.0000 1
Co2 Co 0.0000 0.5000 0.2500 1
Hg1 Hg 0.0000 0.5000 0.7500 1
Rh1 Rh 0.0000 0.0000 0.5000 1
# Energy of formation   1.31 eV per formula unit



Entry 9:
# Dy2Al3Ge2 (PBE, optimized geometry)
data_Dy2Al3Ge2
_chemical_formula_sum 'Dy2 Al3 Ge2'
_cell_length_a 4.5521
_cell_length_b 3.3161
_cell_length_c 9.8700
_cell_angle_alpha 90.00
_cell_angle_beta 103.25
_cell_angle_gamma 90.00
_space_group_name_H-M_alt 'P 1 2/m 1'
_space_group_IT_number 10
loop_
_space_group_symop_operation_xyz
'x,y,z'
'-x,-y,-z'
'-x,y,-z'
'x,-y,z'
loop_
_atom_site_label
_atom_site_type_symbol
_atom_site_fract_x
_atom_site_fract_y
_atom_site_fract_z
_atom_site_occupancy
Dy1 Dy 0.1431 0.0000 0.2856 1
Al1 Al 0.0000 0.5000 0.0000 1
Al2 Al 0.2825 0.5000 0.5655 1
Ge1 Ge 0.4202 0.5000 0.8395 1
# Energy of formation   -2.79 eV per formula unit



Entry 10:
# Tb5GaCu4 (PBE, optimized geometry)
data_Tb5GaCu4
_chemical_formula_sum 'Tb5 Ga1 Cu4'
_cell_length_a 3.4889
_cell_length_b 3.4889
_cell_length_c 17.6908
_cell_angle_alpha 90.00
_cell_angle_beta 90.00
_cell_angle_gamma 90.00
_space_group_name_H-M_alt 'P 4/m m m'
_space_group_IT_number 123
_space_group_name_Hall '-P 4 2'
loop_
_atom_site_label
_atom_site_type_symbol
_atom_site_fract_x
_atom_site_fract_y
_atom_site_fract_z
_atom_site_occupancy
Tb1 Tb 0.0000 0.0000 0.0000 1
Tb2 Tb 0.0000 0.0000 0.1971 1
Tb3 Tb 0.0000 0.0000 0.3947 1
Ga1 Ga 0.5000 0.5000 0.5000 1
Cu1 Cu 0.5000 0.5000 0.0975 1
Cu2 Cu 0.5000 0.5000 0.2959 1
# Energy of formation   -3.04 eV per formula unit



Entry 11:
# Ni2PS (PBE, optimized geometry)
data_Ni2PS
_chemical_formula_sum 'Ni8 P4 S4'
_cell_length_a 5.8132
_cell_length_b 5.8132
_cell_length_c 5.8132
_cell_angle_alpha 90.00
_cell_angle_beta 90.00
_cell_angle_gamma 90.00
_space_group_name_H-M_alt 'F m -3 m'
_space_group_IT_number 225
_space_group_name_Hall '-F 4 2 3'
loop_
_atom_site_label
_atom_site_type_symbol
_atom_site_fract_x
_atom_site_fract_y
_atom_site_fract_z
_atom_site_occupancy
Ni1 Ni 0.2500 0.2500 0.2500 1
P1 P 0.0000 0.0000 0.0000 1
S1 S 0.0000 0.0000 0.5000 1
# Raw formation energy   61 meV per atom



Entry 12:
# SnMoBr2 (PBE, optimized geometry)
data_SnMoBr2
_chemical_formula_sum 'Sn4 Mo4 Br8'
_cell_length_a 7.3865
_cell_length_b 7.3865
_cell_length_c 7.3865
_cell_angle_alpha 90.00
_cell_angle_beta 90.00
_cell_angle_gamma 90.00
_space_group_name_H-M_alt 'F m -3 m'
_space_group_IT_number 225
_space_group_name_Hall '-F 4 2 3'
loop_
_atom_site_label
_atom_site_type_symbol
_atom_site_fract_x
_atom_site_fract_y
_atom_site_fract_z
_atom_site_occupancy
Sn1 Sn 0.0000 0.0000 0.0000 1
Mo1 Mo 0.0000 0.0000 0.5000 1
Br1 Br 0.2500 0.2500 0.2500 1
# Raw formation energy   674 meV per atom
# Energy above the lowest structure with this stoichiometry   0.5849 eV per atom



Entry 13:
# TbHf2Ru (PBE, optimized geometry)
data_TbHf2Ru
_chemical_formula_sum 'Tb1 Hf2 Ru1'
_cell_length_a 3.2782
_cell_length_b 3.2782
_cell_length_c 7.9870
_cell_angle_alpha 90.00
_cell_angle_beta 90.00
_cell_angle_gamma 90.00
_space_group_name_H-M_alt 'P 4/m m m'
_space_group_IT_number 123
_space_group_name_Hall '-P 4 2'
loop_
_atom_site_label
_atom_site_type_symbol
_atom_site_fract_x
_atom_site_fract_y
_atom_site_fract_z
_atom_site_occupancy
Tb1 Tb 0.0000 0.0000 0.0000 1
Hf1 Hf 0.5000 0.5000 0.3023 1
Ru1 Ru 0.0000 0.0000 0.5000 1
# Energy of formation   -0.90 eV per formula unit